[1]
Entry from Alexandria via LeMat-Bulk: crystalline TlIn at its relaxed geometry (PBE).

Summary:
For the calculated formation energy, the calculation gives 0.1 eV per formula unit.

Geometry as CIF:
```
data_TlIn
_cell_length_a 3.4924
_cell_length_b 3.4924
_cell_length_c 16.4831
_cell_angle_alpha 90.00
_cell_angle_beta 90.00
_cell_angle_gamma 120.00
_space_group_name_H-M_alt 'R -3 m'
_space_group_IT_number 166
_space_group_name_Hall '-R 3 2"'
loop_
_atom_site_label
_atom_site_type_symbol
_atom_site_fract_x
_atom_site_fract_y
_atom_site_fract_z
Tl1 Tl 0.0000 0.0000 0.0000
In1 In 0.0000 0.0000 0.5000
```

[2]
Entry from Alexandria via LeMat-Bulk: crystalline TlIn at its relaxed geometry (PBE).

Summary:
For the calculated formation energy, the calculation gives 0.0 eV per formula unit.

Geometry as CIF:
```
data_TlIn
_cell_length_a 3.9015
_cell_length_b 5.4550
_cell_length_c 5.4831
_cell_angle_alpha 90.00
_cell_angle_beta 90.00
_cell_angle_gamma 90.00
_space_group_name_H-M_alt 'C m m m'
_space_group_IT_number 65
_space_group_name_Hall '-C 2 2'
loop_
_atom_site_label
_atom_site_type_symbol
_atom_site_fract_x
_atom_site_fract_y
_atom_site_fract_z
Tl1 Tl 0.0000 0.0000 0.0000
In1 In 0.0000 0.5000 0.5000
```

[3]
Entry from Alexandria via LeMat-Bulk: crystalline Tl2In at its relaxed geometry (PBE).

Summary:
For the calculated formation energy, the calculation gives 0.1 eV per formula unit.

Geometry as CIF:
```
data_Tl2In
_cell_length_a 3.6448
_cell_length_b 16.7410
_cell_length_c 5.8801
_cell_angle_alpha 90.00
_cell_angle_beta 90.00
_cell_angle_gamma 90.00
_space_group_name_H-M_alt 'C m c m'
_space_group_IT_number 63
_space_group_name_Hall '-C 2c 2'
loop_
_atom_site_label
_atom_site_type_symbol
_atom_site_fract_x
_atom_site_fract_y
_atom_site_fract_z
Tl1 Tl 0.0000 0.0959 0.2500
Tl2 Tl 0.0000 0.2313 0.7500
In1 In 0.0000 0.4337 0.2500
```

[4]
Entry from Alexandria via LeMat-Bulk: crystalline TlIn at its relaxed geometry (PBE).

Summary:
For the calculated formation energy, the calculation gives 0.0 eV per formula unit.

Geometry as CIF:
```
data_TlIn
_cell_length_a 3.8128
_cell_length_b 3.7667
_cell_length_c 8.1449
_cell_angle_alpha 90.00
_cell_angle_beta 90.30
_cell_angle_gamma 90.00
_space_group_name_H-M_alt 'P 1 21/m 1'
_space_group_IT_number 11
loop_
_space_group_symop_operation_xyz
'x,y,z'
'-x,-y,-z'
'-x,y+1/2,-z'
'x,-y+1/2,z'
loop_
_atom_site_label
_atom_site_type_symbol
_atom_site_fract_x
_atom_site_fract_y
_atom_site_fract_z
Tl1 Tl 0.2487 0.2500 0.1385
In1 In 0.2508 0.2500 0.6109
```

[5]
Entry from Alexandria via LeMat-Bulk: crystalline Tl2In at its relaxed geometry (PBE).

Summary:
For the calculated formation energy, the calculation gives 0.1 eV per formula unit.

Geometry as CIF:
```
data_Tl2In
_cell_length_a 32.0783
_cell_length_b 3.3365
_cell_length_c 3.3643
_cell_angle_alpha 90.00
_cell_angle_beta 91.19
_cell_angle_gamma 90.00
_space_group_name_H-M_alt 'C 1 2/m 1'
_space_group_IT_number 12
loop_
_space_group_symop_operation_xyz
'x,y,z'
'-x,-y,-z'
'-x,y,-z'
'x,-y,z'
'x+1/2,y+1/2,z'
'-x+1/2,-y+1/2,-z'
'-x+1/2,y+1/2,-z'
'x+1/2,-y+1/2,z'
loop_
_atom_site_label
_atom_site_type_symbol
_atom_site_fract_x
_atom_site_fract_y
_atom_site_fract_z
Tl1 Tl 0.0474 0.0000 0.2610
Tl2 Tl 0.2067 0.0000 0.2456
In1 In 0.1270 0.5000 0.7526
```

[6]
Entry from Alexandria via LeMat-Bulk: crystalline Tl2In at its relaxed geometry (PBE).

Summary:
For the calculated formation energy, the calculation gives 0.1 eV per formula unit.

Geometry as CIF:
```
data_Tl2In
_cell_length_a 7.7623
_cell_length_b 7.7623
_cell_length_c 6.1245
_cell_angle_alpha 90.00
_cell_angle_beta 90.00
_cell_angle_gamma 90.00
_space_group_name_H-M_alt 'I 4/m c m'
_space_group_IT_number 140
_space_group_name_Hall '-I 4 2c'
loop_
_atom_site_label
_atom_site_type_symbol
_atom_site_fract_x
_atom_site_fract_y
_atom_site_fract_z
Tl1 Tl 0.1502 0.3498 0.0000
In1 In 0.0000 0.0000 0.2500
```